[1]
A plane-wave DFT calculation with GGA-PBE was carried out for an optimized crystal structure of Zr2PdSeF.

SG   No. 123
Crystal system   tetragonal

Cell and atoms, written as POSCAR:
```
Zr2PdSeF
1.0
4.3251 0.0000 0.0000
0.0000 4.3251 0.0000
0.0000 0.0000 4.9904
Zr Pd Se F
2 1 1 1
Direct
0.0000 0.5000 0.0000 Zr
0.5000 0.0000 0.0000 Zr
0.0000 0.0000 0.5000 Pd
0.5000 0.5000 0.5000 Se
0.5000 0.5000 0.0000 F
```

[2]
A plane-wave DFT calculation with GGA-PBE was carried out for an optimized crystal structure of SiPdF2.

SG   No. 122
Crystal system   tetragonal
Offset from the most stable computed form   204 meV/atom

Cell and atoms, written as POSCAR:
```
SiPdF2
1.0
3.6462 0.0000 0.0000
0.0000 3.6462 0.0000
0.0000 0.0000 15.2586
Si Pd F
4 4 8
Direct
0.0000 0.0000 0.0000 Si
0.0000 0.5000 0.2500 Si
0.5000 0.0000 0.7500 Si
0.5000 0.5000 0.5000 Si
0.0000 0.0000 0.5000 Pd
0.0000 0.5000 0.7500 Pd
0.5000 0.0000 0.2500 Pd
0.5000 0.5000 0.0000 Pd
0.2255 0.2500 0.1250 F
0.2500 0.7255 0.3750 F
0.2500 0.7745 0.8750 F
0.2745 0.2500 0.6250 F
0.7255 0.7500 0.6250 F
0.7500 0.2255 0.8750 F
0.7500 0.2745 0.3750 F
0.7745 0.7500 0.1250 F
```

[3]
A plane-wave DFT calculation with GGA-PBE was carried out for an optimized crystal structure of Si3PdF.

SG   No. 221
Crystal system   cubic
Offset from the most stable computed form   0 meV/atom

Cell and atoms, written as POSCAR:
```
Si3PdF
1.0
4.3035 0.0000 0.0000
0.0000 4.3035 0.0000
0.0000 0.0000 4.3035
Si Pd F
3 1 1
Direct
0.0000 0.0000 0.5000 Si
0.0000 0.5000 0.0000 Si
0.5000 0.0000 0.0000 Si
0.5000 0.5000 0.5000 Pd
0.0000 0.0000 0.0000 F
```

[4]
A plane-wave DFT calculation with GGA-PBE was carried out for an optimized crystal structure of SiPdF3.

SG   No. 221
Crystal system   cubic
Offset from the most stable computed form   0 meV/atom

Cell and atoms, written as POSCAR:
```
SiPdF3
1.0
4.0545 0.0000 0.0000
0.0000 4.0545 0.0000
0.0000 0.0000 4.0545
Si Pd F
1 1 3
Direct
0.0000 0.0000 0.0000 Si
0.5000 0.5000 0.5000 Pd
0.0000 0.0000 0.5000 F
0.0000 0.5000 0.0000 F
0.5000 0.0000 0.0000 F
```

[5]
A plane-wave DFT calculation with GGA-PBE was carried out for an optimized crystal structure of SiPdF.

SG   No. 2
Crystal system   triclinic

Cell and atoms, written as POSCAR:
```
SiPdF
1.0
4.5770 0.0000 0.0000
-1.1754 4.4333 0.0000
-1.0155 -0.6788 5.4699
Si Pd F
2 2 2
Direct
0.2212 0.2086 0.1183 Si
0.7788 0.7914 0.8817 Si
0.2922 0.7084 0.0011 Pd
0.7078 0.2916 0.9989 Pd
0.2533 0.2089 0.4133 F
0.7467 0.7911 0.5867 F
```

[6]
A plane-wave DFT calculation with GGA-PBE was carried out for an optimized crystal structure of Si2PdF8.

SG   No. 12
Crystal system   monoclinic

Cell and atoms, written as POSCAR:
```
Si2PdF8
1.0
4.8001 -3.9862 0.0000
4.8001 3.9862 0.0000
-1.2285 0.0000 5.1790
Si Pd F
2 1 8
Direct
0.2433 0.2433 0.2778 Si
0.7567 0.7567 0.7222 Si
0.0000 0.0000 0.5000 Pd
0.0013 0.6703 0.8463 F
0.2703 0.2703 0.5867 F
0.3297 0.9987 0.1537 F
0.3979 0.3979 0.2194 F
0.6021 0.6021 0.7806 F
0.6703 0.0013 0.8463 F
0.7297 0.7297 0.4133 F
0.9987 0.3297 0.1537 F
```

[7]
A plane-wave DFT calculation with GGA-PBE was carried out for an optimized crystal structure of SiPd2F.

SG   No. 225
Crystal system   cubic
Offset from the most stable computed form   0 meV/atom

Cell and atoms, written as POSCAR:
```
SiPd2F
1.0
5.9454 0.0000 0.0000
0.0000 5.9454 0.0000
0.0000 0.0000 5.9454
Si Pd F
4 8 4
Direct
0.0000 0.0000 0.0000 Si
0.0000 0.5000 0.5000 Si
0.5000 0.0000 0.5000 Si
0.5000 0.5000 0.0000 Si
0.2500 0.2500 0.2500 Pd
0.2500 0.2500 0.7500 Pd
0.2500 0.7500 0.2500 Pd
0.2500 0.7500 0.7500 Pd
0.7500 0.2500 0.2500 Pd
0.7500 0.2500 0.7500 Pd
0.7500 0.7500 0.2500 Pd
0.7500 0.7500 0.7500 Pd
0.0000 0.0000 0.5000 F
0.0000 0.5000 0.0000 F
0.5000 0.0000 0.0000 F
0.5000 0.5000 0.5000 F
```

[8]
A plane-wave DFT calculation with GGA-PBE was carried out for an optimized crystal structure of SiPdF2.

SG   No. 166
Crystal system   trigonal
Offset from the most stable computed form   351 meV/atom

Cell and atoms, written as POSCAR:
```
SiPdF2
1.0
2.7786 0.0000 0.0000
-1.3893 2.4064 0.0000
0.0000 0.0000 23.2486
Si Pd F
3 3 6
Direct
0.0000 0.0000 0.0000 Si
0.3333 0.6667 0.6667 Si
0.6667 0.3333 0.3333 Si
0.0000 0.0000 0.5000 Pd
0.3333 0.6667 0.1667 Pd
0.6667 0.3333 0.8333 Pd
0.0000 0.0000 0.4118 F
0.0000 0.0000 0.5882 F
0.3333 0.6667 0.0785 F
0.3333 0.6667 0.2548 F
0.6667 0.3333 0.7452 F
0.6667 0.3333 0.9215 F
```

Result set for N(E_F): 5.9; 1.9; 2.3; 10.1; 0.4; 0.4; 3.8; 3.9 states/eV per cell, one per record in the order listed.
Result set for formation energy from raw total energies: -652; -967; 322; -1160; -1401; -2511; -703; -820 meV/atom, one per record in the order listed.